1.
The following is a DFT calculation (GGA-PBE) of a geometry-optimized TbTlAgTe3 structure.

Summary:
**E_tot**: -23.337 eV/f.u.
**Space-group type**: Cmcm, No. 63

a b c (Å): 8.0384 8.0384 11.4542
angles (deg): 90.00 90.00 149.37
Sites, in units of the cell vectors:
Tb 0.0000 0.0000 0.0000
Tb 0.0000 0.0000 0.5000
Tl 0.2384 0.7616 0.7500
Tl 0.7616 0.2384 0.2500
Ag 0.4637 0.5363 0.2500
Ag 0.5363 0.4637 0.7500
Te 0.0825 0.9175 0.2500
Te 0.3600 0.6400 0.0497
Te 0.3600 0.6400 0.4503
Te 0.6400 0.3600 0.5497
Te 0.6400 0.3600 0.9503
Te 0.9175 0.0825 0.7500

2.
The following is a DFT calculation (GGA-PBE) of a geometry-optimized TbTlAg3Te4 structure.

Summary:
**E_tot**: -31.410 eV/f.u.
**Space-group type**: P-43m, No. 215

a b c (Å): 6.7921 6.7921 6.7921
angles (deg): 90.00 90.00 90.00
Sites, in units of the cell vectors:
Tb 0.0000 0.0000 0.0000
Tl 0.5000 0.5000 0.5000
Ag 0.0000 0.0000 0.5000
Ag 0.0000 0.5000 0.0000
Ag 0.5000 0.0000 0.0000
Te 0.2451 0.2451 0.7549
Te 0.2451 0.7549 0.2451
Te 0.7549 0.2451 0.2451
Te 0.7549 0.7549 0.7549

3.
The following is a DFT calculation (GGA-PBE) of a geometry-optimized TbTlAg3Te4 structure.

Summary:
**E_tot**: -31.426 eV/f.u.
**Space-group type**: P2_1/m, No. 11

a b c (Å): 6.4548 8.0991 10.9719
angles (deg): 90.00 106.07 90.00
Sites, in units of the cell vectors:
Tb 0.0923 0.2500 0.3081
Tb 0.9077 0.7500 0.6919
Tl 0.2306 0.2500 0.9276
Tl 0.7694 0.7500 0.0724
Ag 0.2969 0.5594 0.5264
Ag 0.2969 0.9406 0.5264
Ag 0.4379 0.7500 0.7718
Ag 0.5621 0.2500 0.2282
Ag 0.7031 0.0594 0.4736
Ag 0.7031 0.4406 0.4736
Te 0.0737 0.2500 0.5813
Te 0.2134 0.7500 0.9483
Te 0.3543 0.5333 0.2674
Te 0.3543 0.9667 0.2674
Te 0.6457 0.0333 0.7326
Te 0.6457 0.4667 0.7326
Te 0.7866 0.2500 0.0517
Te 0.9263 0.7500 0.4187

4.
The following is a DFT calculation (GGA-PBE) of a geometry-optimized TbYAg2Te4 structure.

Summary:
**E_tot**: -36.727 eV/f.u.
**Space-group type**: Cmm2, No. 35

a b c (Å): 7.1203 7.1203 4.7356
angles (deg): 90.00 90.00 90.02
Sites, in units of the cell vectors:
Tb 0.0000 0.0000 0.0000
Y 0.5000 0.5000 0.6067
Ag 0.0000 0.5000 0.8034
Ag 0.5000 0.0000 0.8034
Te 0.2017 0.2017 0.5169
Te 0.2985 0.7015 0.0901
Te 0.7015 0.2985 0.0901
Te 0.7983 0.7983 0.5169

5.
The following is a DFT calculation (GGA-PBE) of a geometry-optimized TbTlAg structure.

Summary:
**E_tot**: -10.385 eV/f.u.
**Space-group type**: F-43m, No. 216

a b c (Å): 4.8366 4.8366 4.8366
angles (deg): 60.00 60.00 60.00
Sites, in units of the cell vectors:
Tb 0.0000 0.0000 0.0000
Tl 0.5000 0.5000 0.5000
Ag 0.2500 0.2500 0.2500

6.
The following is a DFT calculation (GGA-PBE) of a geometry-optimized Tb5Tl4Ag structure.

Summary:
**E_tot**: -38.885 eV/f.u.
**Space-group type**: P4/mmm, No. 123

a b c (Å): 3.6323 3.6323 20.3700
angles (deg): 90.00 90.00 90.00
Sites, in units of the cell vectors:
Tb 0.0000 0.0000 0.0000
Tb 0.0000 0.0000 0.2059
Tb 0.0000 0.0000 0.4102
Tb 0.0000 0.0000 0.5898
Tb 0.0000 0.0000 0.7941
Tl 0.5000 0.5000 0.1029
Tl 0.5000 0.5000 0.3086
Tl 0.5000 0.5000 0.6914
Tl 0.5000 0.5000 0.8971
Ag 0.5000 0.5000 0.5000

7.
The following is a DFT calculation (GGA-PBE) of a geometry-optimized TbYTlAg2 structure.

Summary:
**E_tot**: -20.691 eV/f.u.
**Space-group type**: Amm2, No. 38

a b c (Å): 3.5353 7.7663 7.7663
angles (deg): 34.37 90.00 90.00
Sites, in units of the cell vectors:
Tb 0.0000 0.0000 0.0000
Y 0.0000 0.2437 0.2437
Tl 0.5000 0.6223 0.6223
Ag 0.5000 0.4234 0.4234
Ag 0.5000 0.8206 0.8206

8.
The following is a DFT calculation (GGA-PBE) of a geometry-optimized TbTm4Ag5 structure.

Summary:
**E_tot**: -40.100 eV/f.u.
**Formation energy from the elements**: -0.35 eV per atom
**Space-group type**: P4/mmm, No. 123

a b c (Å): 3.5794 3.5794 17.9969
angles (deg): 90.00 90.00 90.00
Sites, in units of the cell vectors:
Tb 0.0000 0.0000 0.0000
Tm 0.0000 0.0000 0.2024
Tm 0.0000 0.0000 0.4007
Tm 0.0000 0.0000 0.5993
Tm 0.0000 0.0000 0.7976
Ag 0.5000 0.5000 0.1046
Ag 0.5000 0.5000 0.3014
Ag 0.5000 0.5000 0.5000
Ag 0.5000 0.5000 0.6986
Ag 0.5000 0.5000 0.8954

9.
The following is a DFT calculation (GGA-PBE) of a geometry-optimized TbTmAg structure.

Summary:
**E_tot**: -10.301 eV/f.u.
**Formation energy from the elements**: 0.54 eV per atom
**Space-group type**: F-43m, No. 216

a b c (Å): 4.8703 4.8703 4.8703
angles (deg): 60.00 60.00 60.00
Sites, in units of the cell vectors:
Tb 0.0000 0.0000 0.0000
Tm 0.7500 0.7500 0.7500
Ag 0.5000 0.5000 0.5000

10.
The following is a DFT calculation (GGA-PBE) of a geometry-optimized TbTmAg6 structure.

Summary:
**E_tot**: -28.183 eV/f.u.
**Formation energy from the elements**: -0.27 eV per atom
**Space-group type**: Pmm2, No. 25

a b c (Å): 5.0051 6.0979 5.2027
angles (deg): 90.00 90.00 90.00
Sites, in units of the cell vectors:
Tb 0.0000 0.0000 0.0000
Tm 0.5000 0.5000 0.3078
Ag 0.0000 0.2586 0.4943
Ag 0.0000 0.5000 0.9800
Ag 0.0000 0.7414 0.4943
Ag 0.5000 0.0000 0.3363
Ag 0.5000 0.2498 0.8135
Ag 0.5000 0.7502 0.8135

11.
The following is a DFT calculation (GGA-PBE) of a geometry-optimized TbTmAg2 structure.

Summary:
**E_tot**: -15.943 eV/f.u.
**Formation energy from the elements**: -0.30 eV per atom
**Space-group type**: Amm2, No. 38

a b c (Å): 4.7579 5.7798 5.7798
angles (deg): 37.05 90.00 90.00
Sites, in units of the cell vectors:
Tb 0.0000 0.0000 0.0000
Tm 0.5000 0.7121 0.7121
Ag 0.0000 0.2744 0.2744
Ag 0.5000 0.4353 0.4353

12.
The following is a DFT calculation (GGA-PBE) of a geometry-optimized Tb4TmAg5 structure.

Summary:
**E_tot**: -40.425 eV/f.u.
**Formation energy from the elements**: -0.33 eV per atom
**Space-group type**: P4/mmm, No. 123

a b c (Å): 3.6175 3.6175 18.2135
angles (deg): 90.00 90.00 90.00
Sites, in units of the cell vectors:
Tb 0.0000 0.0000 0.1007
Tb 0.0000 0.0000 0.3024
Tb 0.0000 0.0000 0.6976
Tb 0.0000 0.0000 0.8993
Tm 0.0000 0.0000 0.5000
Ag 0.5000 0.5000 0.0000
Ag 0.5000 0.5000 0.2014
Ag 0.5000 0.5000 0.4044
Ag 0.5000 0.5000 0.5956
Ag 0.5000 0.5000 0.7986

13.
The following is a DFT calculation (GGA-PBE) of a geometry-optimized TbUAg structure.

Summary:
**E_tot**: -15.592 eV/f.u.
**Formation energy from the elements**: 1.05 eV per atom
**Space-group type**: F-43m, No. 216

a b c (Å): 4.8769 4.8769 4.8769
angles (deg): 60.00 60.00 60.00
Sites, in units of the cell vectors:
Tb 0.0000 0.0000 0.0000
U 0.7500 0.7500 0.7500
Ag 0.5000 0.5000 0.5000

14.
The following is a DFT calculation (GGA-PBE) of a geometry-optimized TbY4Ag5 structure.

Summary:
**E_tot**: -47.997 eV/f.u.
**Formation energy from the elements**: -0.34 eV per atom
**Space-group type**: P4/mmm, No. 123

a b c (Å): 3.6268 3.6268 18.2124
angles (deg): 90.00 90.00 90.00
Sites, in units of the cell vectors:
Tb 0.0000 0.0000 0.0000
Y 0.0000 0.0000 0.2003
Y 0.0000 0.0000 0.4001
Y 0.0000 0.0000 0.5999
Y 0.0000 0.0000 0.7997
Ag 0.5000 0.5000 0.1002
Ag 0.5000 0.5000 0.3002
Ag 0.5000 0.5000 0.5000
Ag 0.5000 0.5000 0.6998
Ag 0.5000 0.5000 0.8998

15.
The following is a DFT calculation (GGA-PBE) of a geometry-optimized Tb4YAg5 structure.

Summary:
**E_tot**: -42.402 eV/f.u.
**Formation energy from the elements**: -0.33 eV per atom
**Space-group type**: P4/mmm, No. 123

a b c (Å): 3.6334 3.6334 18.2242
angles (deg): 90.00 90.00 90.00
Sites, in units of the cell vectors:
Tb 0.0000 0.0000 0.1000
Tb 0.0000 0.0000 0.3002
Tb 0.0000 0.0000 0.6998
Tb 0.0000 0.0000 0.9000
Y 0.0000 0.0000 0.5000
Ag 0.5000 0.5000 0.0000
Ag 0.5000 0.5000 0.2002
Ag 0.5000 0.5000 0.4002
Ag 0.5000 0.5000 0.5998
Ag 0.5000 0.5000 0.7998

16.
The following is a DFT calculation (GGA-PBE) of a geometry-optimized TbYAg6 structure.

Summary:
**E_tot**: -30.164 eV/f.u.
**Formation energy from the elements**: -0.27 eV per atom
**Space-group type**: Pmm2, No. 25

a b c (Å): 5.0211 6.1321 5.2144
angles (deg): 90.00 90.00 90.00
Sites, in units of the cell vectors:
Tb 0.0000 0.0000 0.0000
Y 0.5000 0.5000 0.6923
Ag 0.0000 0.2550 0.5062
Ag 0.0000 0.5000 0.0278
Ag 0.0000 0.7450 0.5062
Ag 0.5000 0.0000 0.6644
Ag 0.5000 0.2452 0.1862
Ag 0.5000 0.7548 0.1862

17.
The following is a DFT calculation (GGA-PBE) of a geometry-optimized TbYAg4 structure.

Summary:
**E_tot**: -24.361 eV/f.u.
**Formation energy from the elements**: -0.33 eV per atom
**Space-group type**: P4/mmm, No. 123

a b c (Å): 3.7251 3.7251 9.2643
angles (deg): 90.00 90.00 90.00
Sites, in units of the cell vectors:
Tb 0.0000 0.0000 0.0000
Y 0.5000 0.5000 0.5000
Ag 0.0000 0.0000 0.3302
Ag 0.0000 0.0000 0.6698
Ag 0.5000 0.5000 0.1698
Ag 0.5000 0.5000 0.8302

18.
The following is a DFT calculation (GGA-PBE) of a geometry-optimized TbZn6Ag6 structure.

Summary:
**E_tot**: -31.378 eV/f.u.
**Formation energy from the elements**: -0.17 eV per atom
**Space-group type**: Immm, No. 71

a b c (Å): 7.0661 7.0661 7.0661
angles (deg): 137.09 98.01 97.37
Sites, in units of the cell vectors:
Tb 0.0000 0.0000 0.0000
Zn 0.0000 0.0000 0.5000
Zn 0.0000 0.5000 0.0000
Zn 0.2266 0.7266 0.5000
Zn 0.5000 0.0000 0.0000
Zn 0.5000 0.5000 0.5000
Zn 0.7734 0.2734 0.5000
Ag 0.1959 0.5000 0.6959
Ag 0.3458 0.3458 0.0000
Ag 0.3474 0.0000 0.3474
Ag 0.6526 0.0000 0.6526
Ag 0.6542 0.6542 0.0000
Ag 0.8041 0.5000 0.3041

19.
The following is a DFT calculation (GGA-PBE) of a geometry-optimized Tb2Zn15Ag2 structure.

Summary:
**E_tot**: -38.402 eV/f.u.
**Formation energy from the elements**: -0.24 eV per atom
**Space-group type**: R-3m, No. 166

a b c (Å): 6.8165 6.8165 6.8165
angles (deg): 82.90 82.90 82.90
Sites, in units of the cell vectors:
Tb 0.1589 0.1589 0.1589
Tb 0.8411 0.8411 0.8411
Zn 0.0000 0.5000 0.5000
Zn 0.1468 0.1468 0.6628
Zn 0.1468 0.6628 0.1468
Zn 0.2026 0.5000 0.7974
Zn 0.2026 0.7974 0.5000
Zn 0.3372 0.8532 0.8532
Zn 0.5000 0.0000 0.5000
Zn 0.5000 0.2026 0.7974
Zn 0.5000 0.5000 0.0000
Zn 0.5000 0.7974 0.2026
Zn 0.6628 0.1468 0.1468
Zn 0.7974 0.2026 0.5000
Zn 0.7974 0.5000 0.2026
Zn 0.8532 0.3372 0.8532
Zn 0.8532 0.8532 0.3372
Ag 0.3931 0.3931 0.3931
Ag 0.6069 0.6069 0.6069

20.
The following is a DFT calculation (GGA-PBE) of a geometry-optimized Tb5ZnAg4 structure.

Summary:
**E_tot**: -39.056 eV/f.u.
**Formation energy from the elements**: -0.33 eV per atom
**Space-group type**: P4/mmm, No. 123

a b c (Å): 3.6379 3.6379 18.1905
angles (deg): 90.00 90.00 90.00
Sites, in units of the cell vectors:
Tb 0.0000 0.0000 0.0000
Tb 0.0000 0.0000 0.2020
Tb 0.0000 0.0000 0.4045
Tb 0.0000 0.0000 0.5955
Tb 0.0000 0.0000 0.7980
Zn 0.5000 0.5000 0.5000
Ag 0.5000 0.5000 0.1006
Ag 0.5000 0.5000 0.3037
Ag 0.5000 0.5000 0.6963
Ag 0.5000 0.5000 0.8994